Density functional theory data (PBE-GGA) for a relaxed Pm5ThSn6 crystal.

abc: 7.5297 7.9489 7.9710
angles: 60.09 79.83 69.25
Positions (direct):
Sn  0.2494  0.2508  0.0000
Sn  0.7491  0.0839  0.3335
Sn  0.2509  0.5826  0.3335
Sn  0.7491  0.4174  0.6665
Sn  0.2509  0.9161  0.6665
Sn  0.7506  0.7492  0.0000
Pm  0.5000  0.5000  0.0000
Pm  0.0000  0.3330  0.3339
Pm  0.5000  0.1665  0.6670
Pm  0.0000  0.6670  0.6661
Pm  0.5000  0.8335  0.3330
Th  0.0000  0.0000  0.0000

Properties
Calculated formation energy in eV per atom: -0.550
Electronic total energy in eV/f.u.: -61.794
Crystal system: monoclinic
N(E_F) in states/eV/atom: 0.87



Density functional theory data (PBE-GGA) for a relaxed Ho4SnTe2S crystal.

abc: 4.2297 7.2959 7.4677
angles: 109.20 90.00 90.00
Positions (direct):
Ho  0.5000  0.2270  0.2168
Ho  0.5000  0.7730  0.7832
Ho  0.0000  0.2452  0.7717
Ho  0.0000  0.7548  0.2283
S  0.0000  0.0000  0.0000
Sn  0.5000  0.5000  0.0000
Te  0.5000  0.0000  0.5000
Te  0.0000  0.5000  0.5000

Properties
Formation energy without anion corrections in eV per formula unit: -10.43
Electronic total energy in eV/f.u.: -43.156
Crystal system: monoclinic
N(E_F) in states/eV/atom: 0.43



Density functional theory data (PBE-GGA) for a relaxed Cs2YCI6 crystal.

abc: 8.0712 8.0712 8.7854
angles: 62.65 62.65 90.00
Positions (direct):
I  0.2678  0.7322  0.0000
I  0.2678  0.2678  0.0000
I  0.7322  0.7322  0.0000
I  0.7744  0.7744  0.4511
I  0.2256  0.2256  0.5489
I  0.7322  0.2678  0.0000
Y  0.0000  0.0000  0.0000
Cs  0.2500  0.7500  0.5000
Cs  0.7500  0.2500  0.5000
C  0.5000  0.5000  0.0000

Properties
Formation energy without anion corrections in eV per formula unit: -6.05
Electronic total energy in eV/f.u.: -32.741
Crystal system: tetragonal
N(E_F) in states/eV/atom: 0.00



Density functional theory data (PBE-GGA) for a relaxed Ni3AgSe crystal.

abc: 4.3389 4.3389 4.3389
angles: 90.00 90.00 90.00
Positions (direct):
Ni  0.5000  0.0000  0.0000
Ni  0.0000  0.5000  0.0000
Ni  0.0000  0.0000  0.5000
Se  0.0000  0.0000  0.0000
Ag  0.5000  0.5000  0.5000

Properties
Formation energy without anion corrections in eV per formula unit: 1.77
Electronic total energy in eV/f.u.: -21.907
Crystal system: cubic
N(E_F) in states/eV/atom: 0.60
Energy above the lowest structure with this stoichiometry in meV per atom: 0